This record from Alexandria via LeMat-Bulk describes a crystal of K2CrAg relaxed with PBEsol. The functional is SCAN.

Properties
ΔH_f (0 K) in eV per atom: 0.706
Electronic total energy in eV/atom: -15.896
Energy above the most stable polymorph in this dataset in meV/atom: 216

Cell lengths 3.4218, 3.4218, 34.2411 Å; angles 90.00, 90.00, 120.00 degrees
Space group R-3m (No. 166, hexagonal axes)
Inequivalent atoms, fractional coordinates:
K 0.0000 0.0000 0.2460
Cr 0.0000 0.0000 0.0000
Ag 0.0000 0.0000 0.5000